# 1
The following is a DFT calculation (GGA-PBE) of a relaxed PrSm2Y5Tm crystal.

Unit cell a=9.986 b=9.986 c=9.986 alpha=128.89 beta=128.89 gamma=75.19
Sites, in units of the cell vectors:
Pr1 0.250 0.750 0.500
Pr2 0.750 0.250 0.500
Sm1 0.119 0.619 0.737
Sm2 0.381 0.119 0.500
Sm3 0.619 0.881 0.500
Sm4 0.881 0.381 0.263
Y1 0.000 0.000 0.000
Y2 0.068 0.156 0.500
Y3 0.156 0.656 0.087
Y4 0.344 0.432 0.500
Y5 0.432 0.932 0.087
Y6 0.500 0.500 0.000
Y7 0.568 0.068 0.913
Y8 0.656 0.568 0.500
Y9 0.844 0.344 0.913
Y10 0.932 0.844 0.500
Tm1 0.250 0.250 0.000
Tm2 0.750 0.750 0.000

## Properties
- SG: I4/mcm
- N(E_F): 10.3 states/eV/f.u.
- Energy of formation: 0.25 eV/atom


# 2
The following is a DFT calculation (GGA-PBE) of a relaxed LaTi3Se crystal.

Unit cell a=4.809 b=4.809 c=4.809 alpha=90.00 beta=90.00 gamma=90.00
Sites, in units of the cell vectors:
La1 0.000 0.000 0.000
Ti1 0.000 0.000 0.500
Ti2 0.000 0.500 0.000
Ti3 0.500 0.000 0.000
Se1 0.500 0.500 0.500

## Properties
- SG: Pm-3m
- ΔE_f (raw): 582 kJ/mol of formula units
- Polymorph energy (0 for the lowest one): 1249 meV/atom
- N(E_F): 3.6 states/eV/f.u.


# 3
The following is a DFT calculation (GGA-PBE) of a relaxed Rb2SmErS4 crystal.

Unit cell a=7.118 b=4.108 c=8.054 alpha=90.00 beta=107.10 gamma=90.00
Sites, in units of the cell vectors:
Rb1 0.000 0.000 0.000
Rb2 0.500 0.500 0.000
Sm1 0.000 0.500 0.500
Er1 0.500 0.000 0.500
S1 0.238 0.000 0.694
S2 0.276 0.500 0.309
S3 0.724 0.500 0.691
S4 0.762 0.000 0.306

## Properties
- SG: P2/m
- ΔE_f (raw): -1422 kJ/mol of formula units
- N(E_F): 0.0 states/eV/f.u.


# 4
The following is a DFT calculation (GGA-PBE) of a relaxed RbNa2MgIn crystal.

Unit cell a=6.136 b=6.136 c=5.512 alpha=90.00 beta=90.00 gamma=90.00
Sites, in units of the cell vectors:
Rb1 0.000 0.000 0.000
Na1 0.000 0.500 0.500
Na2 0.500 0.000 0.500
Mg1 0.500 0.500 0.000
In1 0.500 0.500 0.500

## Properties
- SG: P4/mmm
- N(E_F): 1.7 states/eV/f.u.
- Energy of formation: 0.05 eV/atom


# 5
The following is a DFT calculation (GGA-PBE) of a relaxed BaCoRu2 crystal.

Unit cell a=5.618 b=5.618 c=5.618 alpha=145.70 beta=120.74 gamma=70.29
Sites, in units of the cell vectors:
Ba1 0.000 0.000 0.000
Co1 0.312 0.812 0.500
Ru1 0.490 0.490 0.000
Ru2 0.689 0.189 0.500

## Properties
- SG: Imm2
- Polymorph energy (0 for the lowest one): 689 meV/atom
- N(E_F): 5.4 states/eV/f.u.
- Energy of formation: 1.02 eV/atom


# 6
The following is a DFT calculation (GGA-PBE) of a relaxed Er3NpSb4 crystal.

Unit cell a=7.560 b=8.742 c=7.560 alpha=90.00 beta=109.50 gamma=90.00
Sites, in units of the cell vectors:
Er1 0.000 0.124 0.250
Er2 0.000 0.373 0.750
Er3 0.000 0.627 0.250
Er4 0.000 0.876 0.750
Er5 0.500 0.125 0.750
Er6 0.500 0.875 0.250
Np1 0.500 0.374 0.250
Np2 0.500 0.626 0.750
Sb1 0.248 0.374 0.499
Sb2 0.248 0.626 0.999
Sb3 0.249 0.124 0.000
Sb4 0.249 0.876 0.500
Sb5 0.751 0.124 0.500
Sb6 0.751 0.876 0.000
Sb7 0.752 0.374 0.001
Sb8 0.752 0.626 0.501

## Properties
- SG: P2/c
- ΔE_f (raw): -664 kJ/mol of formula units
- N(E_F): 11.8 states/eV/f.u.


# 7
The following is a DFT calculation (GGA-PBE) of a relaxed CuTe2SeN crystal.

Unit cell a=5.656 b=5.656 c=3.631 alpha=90.00 beta=90.00 gamma=90.00
Sites, in units of the cell vectors:
Cu1 0.000 0.000 0.000
Te1 0.000 0.500 0.500
Te2 0.500 0.000 0.500
Se1 0.500 0.500 0.500
N1 0.500 0.500 0.000

## Properties
- SG: P4/mmm
- ΔE_f (raw): 537 kJ/mol of formula units
- Polymorph energy (0 for the lowest one): 306 meV/atom
- N(E_F): 5.1 states/eV/f.u.


# 8
The following is a DFT calculation (GGA-PBE) of a relaxed MnCrFe2 crystal.

Unit cell a=4.675 b=4.675 c=4.675 alpha=143.73 beta=129.39 gamma=63.85
Sites, in units of the cell vectors:
Mn1 0.000 0.000 0.000
Cr1 0.245 0.745 0.500
Fe1 0.494 0.494 0.000
Fe2 0.744 0.244 0.500

## Properties
- SG: Imm2
- N(E_F): 3.2 states/eV/f.u.
- Energy of formation: 0.07 eV/atom


# 9
The following is a DFT calculation (GGA-PBE) of a relaxed VRu3W crystal.

Unit cell a=4.379 b=4.627 c=7.493 alpha=90.00 beta=106.94 gamma=90.00
Sites, in units of the cell vectors:
V1 0.139 0.000 0.279
V2 0.861 0.500 0.721
Ru1 0.050 0.533 0.099
Ru2 0.249 0.434 0.499
Ru3 0.446 0.390 0.894
Ru4 0.554 0.890 0.106
Ru5 0.751 0.934 0.501
Ru6 0.950 0.033 0.901
W1 0.359 0.904 0.716
W2 0.641 0.404 0.284

## Properties
- SG: P2_1
- Polymorph energy (0 for the lowest one): 0 meV/atom
- N(E_F): 4.7 states/eV/f.u.
- Energy of formation: -0.01 eV/atom


# 10
The following is a DFT calculation (GGA-PBE) of a relaxed Dy3Tm7 crystal.

Unit cell a=8.625 b=8.625 c=6.960 alpha=101.68 beta=101.68 gamma=37.06
Sites, in units of the cell vectors:
Dy1 0.000 0.000 0.000
Dy2 0.212 0.212 0.356
Dy3 0.788 0.788 0.644
Tm1 0.000 0.000 0.500
Tm2 0.213 0.213 0.857
Tm3 0.402 0.402 0.201
Tm4 0.402 0.402 0.701
Tm5 0.598 0.598 0.299
Tm6 0.598 0.598 0.799
Tm7 0.787 0.787 0.143

## Properties
- SG: C2/m
- Polymorph energy (0 for the lowest one): 0 meV/atom
- N(E_F): 20.1 states/eV/f.u.
- Energy of formation: 0.06 eV/atom


# 11
The following is a DFT calculation (GGA-PBE) of a relaxed Tb3PmNd2Sb6 crystal.

Unit cell a=9.966 b=9.966 c=8.912 alpha=102.86 beta=102.86 gamma=25.86
Sites, in units of the cell vectors:
Tb1 0.000 0.000 0.000
Tb2 0.333 0.333 0.667
Tb3 0.667 0.667 0.333
Pm1 0.000 0.000 0.500
Nd1 0.333 0.333 0.167
Nd2 0.667 0.667 0.833
Sb1 0.165 0.165 0.088
Sb2 0.168 0.168 0.579
Sb3 0.498 0.498 0.753
Sb4 0.502 0.502 0.247
Sb5 0.832 0.832 0.421
Sb6 0.835 0.835 0.912

## Properties
- SG: C2/m
- ΔE_f (raw): -1351 kJ/mol of formula units
- N(E_F): 1.9 states/eV/f.u.


# 12
The following is a DFT calculation (GGA-PBE) of a relaxed Nd6AlIn crystal.

Unit cell a=4.945 b=4.945 c=9.886 alpha=90.00 beta=90.00 gamma=90.00
Sites, in units of the cell vectors:
Nd1 0.000 0.000 0.000
Nd2 0.000 0.000 0.500
Nd3 0.000 0.500 0.244
Nd4 0.000 0.500 0.756
Nd5 0.500 0.000 0.244
Nd6 0.500 0.000 0.756
Al1 0.500 0.500 0.000
In1 0.500 0.500 0.500

## Properties
- SG: P4/mmm
- N(E_F): 13.8 states/eV/f.u.
- Energy of formation: -0.22 eV/atom


| no. | total moment (μB/atom) |
| --- | --- |
| 1 | 0.000 |
| 2 | 0.000 |
| 3 | 0.000 |
| 4 | 0.000 |
| 5 | 0.215 |
| 6 | 0.493 |
| 7 | 0.013 |
| 8 | 1.286 |
| 9 | 0.000 |
| 10 | 0.001 |
| 11 | 0.000 |
| 12 | 0.001 |